Record 1
Entry from the Alexandria database: crystalline Tb3Si2Rh3 at its relaxed geometry (GGA-PBE).

a b c (Å): 7.5641 14.7946 5.5620
angles (deg): 90.00 90.00 90.00
Closest atoms and distances in Å follow each position.
Space group Pnma (No. 62)
Inequivalent atoms, fractional coordinates:
Tb 0.0264 0.1075 0.1348 (multiplicity 8)  3 Si 2.98-3.03, 7 Rh 2.98-3.33
Tb 0.1684 0.2500 0.6107 (multiplicity 4)  5 Rh 2.88-3.15, 4 Si 3.05-3.10
Si 0.1233 0.6029 0.3701 (multiplicity 8)  4 Rh 2.39-2.54
Rh 0.1682 0.0370 0.5989 (multiplicity 8)  3 Si 2.39-2.45
Rh 0.1810 0.7500 0.5933 (multiplicity 4)  2 Si 2.54

Results
- E_form (uncorrected) (eV/atom) = -1.02
- final energy (eV per atom) = -6.868

***

Record 2
Entry from the Alexandria database: crystalline ZnCu8Au2 at its relaxed geometry (GGA-PBE).

a b c (Å): 12.6082 4.8384 4.9943
angles (deg): 90.00 97.05 90.00
Closest atoms and distances in Å follow each position.
Space group C2/m (No. 12)
Inequivalent atoms, fractional coordinates:
Zn 0.0000 0.0000 0.0000 (multiplicity 2)  8 Cu 2.47-2.72, 2 Au 2.72
Cu 0.0812 0.5000 0.8824 (multiplicity 4)  6 Cu 2.48-2.70, 2 Zn 2.72
Cu 0.0847 0.2550 0.3988 (multiplicity 8)  6 Cu 2.37-2.65, 1 Zn 2.47
Cu 0.2453 0.5000 0.6364 (multiplicity 4)  7 Cu 2.50-2.79, 4 Au 2.59-2.73
Au 0.1995 0.0000 0.8469 (multiplicity 4)  8 Cu 2.59-2.86, 1 Zn 2.72

Results
- ΔE_f (meV/atom) = 53
- final energy (eV per atom) = -3.638

***

Record 3
Entry from the Alexandria database: crystalline Tb4Nd4Y at its relaxed geometry (GGA-PBE).

a b c (Å): 10.8551 10.8551 5.1055
angles (deg): 90.00 90.00 90.00
Closest atoms and distances in Å follow each position.
Space group I4/mmm (No. 139)
Inequivalent atoms, fractional coordinates:
Tb 0.0000 0.3348 0.0000 (multiplicity 8)  5 Tb 3.59-3.60, 6 Nd 3.61-3.62, 1 Y 3.63
Nd 0.1672 0.1672 0.5000 (multiplicity 8)  4 Nd 3.60-3.63, 6 Tb 3.61-3.62, 2 Y 3.62
Y 0.0000 0.0000 0.0000 (multiplicity 2)  8 Nd 3.62, 4 Tb 3.63

Results
- ΔE_f (meV/atom) = 15
- final energy (eV per atom) = -4.880

***

Record 4
Entry from the Alexandria database: crystalline LaNd2Tl3Se6 at its relaxed geometry (GGA-PBE).

a b c (Å): 7.5516 13.0764 8.1337
angles (deg): 90.00 108.02 90.00
Closest atoms and distances in Å follow each position.
Space group C2/m (No. 12)
Inequivalent atoms, fractional coordinates:
La 0.0000 0.0000 0.0000 (multiplicity 2)  6 Se 3.02
Nd 0.0000 0.3333 0.0000 (multiplicity 4)  6 Se 2.99
Tl 0.0000 0.1665 0.5000 (multiplicity 4)  6 Se 3.35-3.38
Tl 0.0000 0.5000 0.5000 (multiplicity 2)  6 Se 3.35-3.37
Se 0.2333 0.5000 0.2105 (multiplicity 4)  2 Nd 2.99, 1 La 3.02
Se 0.2390 0.1685 0.2114 (multiplicity 8)  2 Nd 2.99, 1 La 3.02, 1 Tl 3.35

Results
- E_form (uncorrected) (eV/atom) = -1.41
- final energy (eV per atom) = -4.945

***

Record 5
Entry from the Alexandria database: crystalline Si2HgRh at its relaxed geometry (GGA-PBE).

a b c (Å): 3.8706 3.7454 5.0196
angles (deg): 90.00 104.59 90.00
Closest atoms and distances in Å follow each position.
Space group Pm (No. 6)
Inequivalent atoms, fractional coordinates:
Si 0.0000 0.0000 0.0000 (multiplicity 1)  2 Rh 2.37, 2 Si 2.48, 1 Hg 2.55
Si 0.4039 0.5000 0.9638 (multiplicity 1)  2 Rh 2.39-2.57, 2 Si 2.48
Hg 0.5562 0.0000 0.5277 (multiplicity 1)  1 Si 2.55
Rh 0.9794 0.5000 0.2834 (multiplicity 1)  4 Si 2.37-2.57

Results
- E_form (uncorrected) (eV/atom) = 0.04
- final energy (eV per atom) = -4.586

***

Record 6
Entry from the Alexandria database: crystalline LaDyAgSb at its relaxed geometry (GGA-PBE).

a b c (Å): 7.5701 7.5701 7.5701
angles (deg): 90.00 90.00 90.00
Closest atoms and distances in Å follow each position.
Space group F-43m (No. 216)
Inequivalent atoms, fractional coordinates:
La 0.0000 0.0000 0.0000 (multiplicity 4)  4 Sb 3.28, 4 Ag 3.28
Dy 0.0000 0.0000 0.5000 (multiplicity 4)  4 Sb 3.28, 4 Ag 3.28
Ag 0.2500 0.2500 0.7500 (multiplicity 4)  4 La 3.28, 4 Dy 3.28
Sb 0.2500 0.2500 0.2500 (multiplicity 4)  4 La 3.28, 4 Dy 3.28

Results
- E_form (uncorrected) (eV/atom) = -0.59
- final energy (eV per atom) = -4.714

***

Record 7
Entry from the Alexandria database: crystalline GeHPt at its relaxed geometry (GGA-PBE).

a b c (Å): 3.5853 3.5853 3.4937
angles (deg): 90.00 90.00 120.00
Closest atoms and distances in Å follow each position.
Space group P-6m2 (No. 187)
Inequivalent atoms, fractional coordinates:
Ge 0.0000 0.0000 0.0000 (multiplicity 1)  6 Pt 2.71, 6 H 2.71
H 0.6667 0.3333 0.5000 (multiplicity 1)  3 Pt 2.07
Pt 0.3333 0.6667 0.5000 (multiplicity 1)  3 H 2.07

Results
- distance to the lowest polymorph of the same formula (meV/atom) = 301
- final energy (eV per atom) = -4.516

***

Record 8
Entry from the Alexandria database: crystalline Tb3SmMg4 at its relaxed geometry (GGA-PBE).

a b c (Å): 10.8015 7.5906 5.3992
angles (deg): 90.00 90.00 90.00
Closest atoms and distances in Å follow each position.
Space group Pmma (No. 51)
Inequivalent atoms, fractional coordinates:
Tb 0.0000 0.0000 0.0000 (multiplicity 2)  8 Mg 3.29
Tb 0.2500 0.0000 0.4991 (multiplicity 2)  8 Mg 3.29
Tb 0.2500 0.5000 0.4991 (multiplicity 2)  8 Mg 3.31
Sm 0.0000 0.5000 0.0000 (multiplicity 2)  8 Mg 3.31
Mg 0.0000 0.2484 0.5000 (multiplicity 4)  6 Tb 3.29-3.31, 2 Sm 3.31
Mg 0.2500 0.2485 0.9988 (multiplicity 4)  6 Tb 3.29-3.31, 2 Sm 3.31

Results
- ΔE_f (meV/atom) = -91
- final energy (eV per atom) = -3.215

***

Q: What is the final energy in the first record?
A: -6.868 eV per atom

***

Repeat the eighth record exactly.
Entry from the Alexandria database: crystalline Tb3SmMg4 at its relaxed geometry (GGA-PBE).

a b c (Å): 10.8015 7.5906 5.3992
angles (deg): 90.00 90.00 90.00
Closest atoms and distances in Å follow each position.
Space group Pmma (No. 51)
Inequivalent atoms, fractional coordinates:
Tb 0.0000 0.0000 0.0000 (multiplicity 2)  8 Mg 3.29
Tb 0.2500 0.0000 0.4991 (multiplicity 2)  8 Mg 3.29
Tb 0.2500 0.5000 0.4991 (multiplicity 2)  8 Mg 3.31
Sm 0.0000 0.5000 0.0000 (multiplicity 2)  8 Mg 3.31
Mg 0.0000 0.2484 0.5000 (multiplicity 4)  6 Tb 3.29-3.31, 2 Sm 3.31
Mg 0.2500 0.2485 0.9988 (multiplicity 4)  6 Tb 3.29-3.31, 2 Sm 3.31

Results
- ΔE_f (meV/atom) = -91
- final energy (eV per atom) = -3.215

***

Q: final energy of number 7 (GeHPt)?
A: -4.516 eV per atom